[1]
BePdSeO | the Open Quantum Materials Database | PBE-GGA | optimized geometry; energy above the lowest structure with this stoichiometry = 78 meV/atom; space-group type = No. 19
1.0
4.780 0.000 0.000
0.000 6.910 0.000
0.000 0.000 7.528
Be Pd Se O
4 4 4 4
Cartesian
0.542 1.451 0.482 Be
1.848 5.458 4.246 Be
2.932 2.003 7.045 Be
4.237 4.906 3.282 Be
0.220 5.161 6.570 Pd
2.169 1.748 2.806 Pd
2.610 5.203 0.957 Pd
4.559 1.706 4.721 Pd
0.263 5.981 1.297 Se
2.127 0.928 5.061 Se
2.653 4.383 6.231 Se
4.517 2.527 2.467 Se
0.390 5.119 4.440 O
1.999 1.791 0.676 O
2.780 5.246 3.087 O
4.389 1.664 6.851 O

=====

[2]
BePdSeO | the Open Quantum Materials Database | PBE-GGA | optimized geometry; energy above the lowest structure with this stoichiometry = 1013 meV/atom; space-group type = No. 129
1.0
3.919 0.000 0.000
0.000 3.919 0.000
0.000 0.000 7.777
Be Pd Se O
2 2 2 2
Cartesian
0.980 0.980 0.970 Be
2.939 2.939 6.806 Be
0.980 0.980 3.225 Pd
2.939 2.939 4.552 Pd
0.980 0.980 6.599 Se
2.939 2.939 1.178 Se
0.980 2.939 3.888 O
2.939 0.980 3.888 O

=====

[3]
Pm2BeO4 | the Open Quantum Materials Database | PBE-GGA | optimized geometry; M_tot = 0.00 μB/cell; space-group type = No. 227; final energy = -7.32 eV per atom
1.0
0.000 4.575 4.575
4.575 0.000 4.575
4.575 4.575 0.000
Pm Be O
4 2 8
Cartesian
0.000 0.000 0.000 Pm
2.288 2.288 0.000 Pm
2.288 0.000 2.288 Pm
0.000 2.288 2.288 Pm
3.431 3.431 3.431 Be
5.719 5.719 5.719 Be
2.362 2.362 2.362 O
4.501 4.501 2.362 O
4.501 2.362 4.501 O
6.789 4.650 4.650 O
2.362 4.501 4.501 O
4.650 6.789 4.650 O
4.650 4.650 6.789 O
6.789 6.789 6.789 O

=====

[4]
Pr2Be2O5 | the Open Quantum Materials Database | PBE-GGA | optimized geometry; energy above the lowest structure with this stoichiometry = 0 meV/atom; M_tot = 0.00 μB/cell; space-group type = No. 123
1.0
3.691 0.000 0.000
0.000 3.691 0.000
0.000 0.000 7.019
Pr Be O
2 2 5
Cartesian
0.000 0.000 0.000 Pr
0.000 0.000 3.509 Pr
1.846 1.846 1.579 Be
1.846 1.846 5.440 Be
0.000 1.846 1.909 O
0.000 1.846 5.110 O
1.846 0.000 1.909 O
1.846 0.000 5.110 O
1.846 1.846 0.000 O

=====

[5]
Pr2BeO4 | the Open Quantum Materials Database | PBE-GGA | optimized geometry; M_tot = 0.00 μB/cell; space-group type = No. 227; final energy = -7.21 eV per atom
1.0
0.000 4.644 4.644
4.644 0.000 4.644
4.644 4.644 0.000
Pr Be O
4 2 8
Cartesian
0.000 0.000 0.000 Pr
2.322 2.322 0.000 Pr
2.322 0.000 2.322 Pr
0.000 2.322 2.322 Pr
3.483 3.483 3.483 Be
5.805 5.805 5.805 Be
2.411 2.411 2.411 O
4.556 4.556 2.411 O
4.556 2.411 4.556 O
6.878 4.733 4.733 O
2.411 4.556 4.556 O
4.733 6.878 4.733 O
4.733 4.733 6.878 O
6.878 6.878 6.878 O

=====

[6]
Pr2Be2O5 | the Open Quantum Materials Database | PBE-GGA | optimized geometry; energy above the lowest structure with this stoichiometry = 1481 meV/atom; M_tot = 0.08 μB/cell; space-group type = No. 123
1.0
3.877 0.000 0.000
0.000 3.877 0.000
0.000 0.000 9.164
Pr Be O
2 2 5
Cartesian
0.000 0.000 2.210 Pr
0.000 0.000 6.954 Pr
1.939 1.939 0.000 Be
1.939 1.939 4.582 Be
0.000 0.000 4.582 O
0.000 1.939 1.095 O
0.000 1.939 8.069 O
1.939 0.000 1.095 O
1.939 0.000 8.069 O